Entry 1:
SnBi2Sb2: optimized geometry, PBE-GGA.

Results
E above lowest polymorph	0.088	eV/atom
symmetry	I4/mmm

Cell lengths 4.467, 4.467, 8.808 Å; angles 75.31, 75.31, 90.00 degrees
Fractional coordinates of all 5 atoms:
Sb 0.590 0.590 0.820
Sb 0.410 0.410 0.180
Bi 0.250 0.750 0.500
Bi 0.750 0.250 0.500
Sn 0.000 0.000 0.000

Entry 2:
YAs2Se: optimized geometry, PBE-GGA.

Results
symmetry	Imm2

Cell lengths 5.423, 5.423, 5.423 Å; angles 138.43, 124.00, 72.10 degrees
Fractional coordinates of all 4 atoms:
As 0.044 0.044 0.000
As 0.236 0.736 0.500
Se 0.470 0.470 0.000
Y 0.751 0.251 0.500

Number 1: calculated volume 32.82 A^3/atom, theoretical density 7.9 g/cm³, formation energy from raw total energies 1.24 eV/f.u.. Number 2: calculated volume 21.48 A^3/atom, theoretical density 6.1 g/cm³, formation energy from raw total energies -2.67 eV/f.u..